Computed, not measured: a relaxed structure of AcGdDy2 at the PBE level of DFT.

Unit cell a=8.2537 b=8.2537 c=8.2537 alpha=90.00 beta=90.00 gamma=90.00
Last column: nearest neighbours and their distance in Å.
Space group Fm-3m (No. 225)
One atom of each set of equivalent atoms:
Ac 0.0000 0.0000 0.0000 x4  8 Dy 3.57
Gd 0.0000 0.0000 0.5000 x4  8 Dy 3.57
Dy 0.2500 0.2500 0.2500 x8  4 Gd 3.57, 4 Ac 3.57

## Properties
As for the raw total energy: -6.730 eV per atom. As for the spin magnetization: 7.894 μB per formula unit. The value obtained for the density of states at the Fermi level is 1.846 states/eV/atom. The energy of formation from the pure elements is 0.47 eV/f.u.